Compound: Li2CrIr
Source: Alexandria via LeMat-Bulk
Functional: PBE-GGA
Structure: optimized geometry

Calculated values
energy of formation	0.11	eV/atom
polymorph energy (0 for the lowest one)	0.085	eV/atom
space group	Cm

a b c (Å): 4.3301 4.3301 4.9523
angles (deg): 83.65 83.65 36.17
Sites, in units of the cell vectors:
Cr1 0.5046 0.5046 0.4521
Ir1 0.2512 0.2512 0.2896
Li1 0.9940 0.9940 0.9826
Li2 0.7502 0.7502 0.7758